Entry 1:
Here is crystalline V3HgPt at its relaxed geometry from Alexandria. Energies are from PBE.

Calculated values
* energy of formation from the pure elements: 964 meV per atom

CIF file:
```
data_V3HgPt
_space_group_name_H-M_alt 'P 1'
_space_group_IT_number 1
_cell_length_a 4.6710
_cell_length_b 4.6710
_cell_length_c 4.6710
_cell_angle_alpha 90.00
_cell_angle_beta 90.00
_cell_angle_gamma 90.00
loop_
_space_group_symop_operation_xyz
'x,y,z'
loop_
_atom_site_label
_atom_site_type_symbol
_atom_site_fract_x
_atom_site_fract_y
_atom_site_fract_z
V1 V 0.0000 0.0000 0.5000
V2 V 0.0000 0.5000 0.0000
V3 V 0.5000 0.0000 0.0000
Hg1 Hg 0.5000 0.5000 0.5000
Pt1 Pt 0.0000 0.0000 0.0000
```

Entry 2:
Here is crystalline AcGa4Pd2Rh at its relaxed geometry from Alexandria. Energies are from PBE.

Calculated values
* energy of formation from the pure elements: -663 meV per atom

CIF file:
```
data_AcGa4Pd2Rh
_space_group_name_H-M_alt 'P 1'
_space_group_IT_number 1
_cell_length_a 9.6338
_cell_length_b 9.6338
_cell_length_c 9.6338
_cell_angle_alpha 25.96
_cell_angle_beta 25.96
_cell_angle_gamma 25.96
loop_
_space_group_symop_operation_xyz
'x,y,z'
loop_
_atom_site_label
_atom_site_type_symbol
_atom_site_fract_x
_atom_site_fract_y
_atom_site_fract_z
Ac1 Ac 0.0000 0.0000 0.0000
Ga1 Ga 0.1344 0.1344 0.1344
Ga2 Ga 0.4063 0.4063 0.4063
Ga3 Ga 0.5937 0.5937 0.5937
Ga4 Ga 0.8656 0.8656 0.8656
Pd1 Pd 0.2310 0.2310 0.2310
Pd2 Pd 0.7690 0.7690 0.7690
Rh1 Rh 0.5000 0.5000 0.5000
```